The following is a PBE calculation of crystalline Rb2TiNiS4 at its relaxed geometry, from Alexandria via LeMat-Bulk.

Unit cell a=13.9091 b=12.4618 c=7.3502 alpha=85.03 beta=63.20 gamma=31.77
Fractional coordinates of all 16 atoms:
Rb: 0.0522 0.0522 0.6978
Rb: 0.3022 0.3022 0.9478
Rb: 0.6978 0.6978 0.0522
Rb: 0.9478 0.9478 0.3022
Ti: 0.1250 0.1250 0.1250
Ti: 0.8750 0.8750 0.8750
Ni: 0.3750 0.3750 0.3750
Ni: 0.6250 0.6250 0.6250
S: 0.0171 0.3345 0.4198
S: 0.2714 0.5802 0.6655
S: 0.3345 0.0171 0.7286
S: 0.4198 0.7286 0.0171
S: 0.5802 0.2714 0.9829
S: 0.6655 0.9829 0.2714
S: 0.7286 0.4198 0.3345
S: 0.9829 0.6655 0.5802

Computed properties:
- Calculated volume: 464.2 Å³ per cell
- Formation energy without anion corrections: -1.09 eV/atom


The following is a PBE calculation of crystalline Rb3Ti3NiS8 at its relaxed geometry, from Alexandria via LeMat-Bulk.

Unit cell a=8.7692 b=8.7692 c=8.7692 alpha=48.23 beta=48.23 gamma=48.23
Fractional coordinates of all 15 atoms:
Rb: 0.0000 0.5000 0.5000
Rb: 0.5000 0.0000 0.5000
Rb: 0.5000 0.5000 0.0000
Ti: 0.0000 0.0000 0.5000
Ti: 0.0000 0.5000 0.0000
Ti: 0.5000 0.0000 0.0000
Ni: 0.5000 0.5000 0.5000
S: 0.2245 0.7233 0.7233
S: 0.2267 0.2267 0.2267
S: 0.2767 0.2767 0.7755
S: 0.2767 0.7755 0.2767
S: 0.7233 0.2245 0.7233
S: 0.7233 0.7233 0.2245
S: 0.7733 0.7733 0.7733
S: 0.7755 0.2767 0.2767

Computed properties:
- Calculated volume: 343.8 Å³ per cell
- Formation energy without anion corrections: -1.13 eV/atom


The following is a PBE calculation of crystalline Rb2U2NiS6 at its relaxed geometry, from Alexandria via LeMat-Bulk.

Unit cell a=6.7886 b=6.7886 c=8.1905 alpha=97.47 beta=97.47 gamma=121.65
Fractional coordinates of all 11 atoms:
Rb: 0.1592 0.8408 0.0000
Rb: 0.8408 0.1592 0.0000
U: 0.3349 0.6651 0.5000
U: 0.6651 0.3349 0.5000
Ni: 0.0000 0.0000 0.5000
S: 0.0586 0.4002 0.6867
S: 0.2463 0.2463 0.3323
S: 0.4002 0.0586 0.6867
S: 0.5998 0.9414 0.3133
S: 0.7537 0.7537 0.6677
S: 0.9414 0.5998 0.3133

Computed properties:
- Calculated volume: 309.7 Å³ per cell
- Formation energy without anion corrections: -1.11 eV/atom


The following is a PBE calculation of crystalline Rb2UNiS6 at its relaxed geometry, from Alexandria via LeMat-Bulk.

Unit cell a=6.9233 b=6.9233 c=6.9233 alpha=60.00 beta=60.00 gamma=60.00
Fractional coordinates of all 10 atoms:
Rb: 0.2500 0.2500 0.2500
Rb: 0.7500 0.7500 0.7500
U: 0.0000 0.0000 0.0000
Ni: 0.5000 0.5000 0.5000
S: 0.2590 0.2590 0.7410
S: 0.2590 0.7410 0.2590
S: 0.2590 0.7410 0.7410
S: 0.7410 0.2590 0.2590
S: 0.7410 0.2590 0.7410
S: 0.7410 0.7410 0.2590

Computed properties:
- Calculated volume: 234.7 Å³ per cell
- Formation energy without anion corrections: -0.77 eV/atom


The following is a PBE calculation of crystalline RbU2Ni2S6 at its relaxed geometry, from Alexandria via LeMat-Bulk.

Unit cell a=7.0517 b=7.0824 c=7.2295 alpha=63.94 beta=62.33 gamma=61.09
Fractional coordinates of all 11 atoms:
Rb: 0.0000 0.0000 0.0000
U: 0.3339 0.0029 0.3286
U: 0.6661 0.9971 0.6714
Ni: 0.3242 0.5556 0.6681
Ni: 0.6758 0.4444 0.3319
S: 0.0869 0.7460 0.4815
S: 0.3208 0.2526 0.9313
S: 0.4809 0.7551 0.6656
S: 0.5191 0.2449 0.3344
S: 0.6792 0.7474 0.0687
S: 0.9131 0.2540 0.5185

Computed properties:
- Calculated volume: 269.0 Å³ per cell
- Formation energy without anion corrections: -0.99 eV/atom


The following is a PBE calculation of crystalline Rb2UNiS5 at its relaxed geometry, from Alexandria via LeMat-Bulk.

Unit cell a=10.1262 b=10.1262 c=13.7932 alpha=90.00 beta=90.00 gamma=157.32
Fractional coordinates of all 18 atoms:
Rb: 0.1206 0.8794 0.5000
Rb: 0.1239 0.8761 0.8648
Rb: 0.8761 0.1239 0.3648
Rb: 0.8794 0.1206 0.0000
U: 0.2045 0.7955 0.1881
U: 0.7955 0.2045 0.6881
Ni: 0.4073 0.5927 0.5855
Ni: 0.5927 0.4073 0.0855
S: 0.0758 0.9242 0.1533
S: 0.2957 0.7043 0.5629
S: 0.3046 0.6954 0.8131
S: 0.3276 0.6724 0.1845
S: 0.4869 0.5131 0.4839
S: 0.5131 0.4869 0.9839
S: 0.6724 0.3276 0.6845
S: 0.6954 0.3046 0.3131
S: 0.7043 0.2957 0.0629
S: 0.9242 0.0758 0.6533

Computed properties:
- Calculated volume: 545.3 Å³ per cell
- Formation energy without anion corrections: -0.99 eV/atom


The following is a PBE calculation of crystalline Rb4U3NiS8 at its relaxed geometry, from Alexandria via LeMat-Bulk.

Unit cell a=8.1058 b=8.1058 c=8.9861 alpha=116.65 beta=116.65 gamma=57.87
Fractional coordinates of all 16 atoms:
Rb: 0.0000 0.0000 0.0000
Rb: 0.0000 0.5000 0.0000
Rb: 0.5000 0.0000 0.0000
Rb: 0.5000 0.5000 0.0000
U: 0.0000 0.0000 0.5000
U: 0.0000 0.5000 0.5000
U: 0.5000 0.0000 0.5000
Ni: 0.5000 0.5000 0.5000
S: 0.2284 0.2284 0.6957
S: 0.2451 0.7089 0.6746
S: 0.2489 0.2489 0.2942
S: 0.2911 0.7549 0.3254
S: 0.7089 0.2451 0.6746
S: 0.7511 0.7511 0.7058
S: 0.7549 0.2911 0.3254
S: 0.7716 0.7716 0.3043

Computed properties:
- Calculated volume: 429.3 Å³ per cell
- Formation energy without anion corrections: -1.16 eV/atom


The following is a PBE calculation of crystalline RbUNi2S4 at its relaxed geometry, from Alexandria via LeMat-Bulk.

Unit cell a=6.7084 b=6.7084 c=6.7084 alpha=127.10 beta=106.13 gamma=96.83
Fractional coordinates of all 8 atoms:
Rb: 0.0000 0.0000 0.0000
U: 0.5000 0.5000 0.0000
Ni: 0.3685 0.8685 0.5000
Ni: 0.6315 0.1315 0.5000
S: 0.1514 0.0865 0.5913
S: 0.4951 0.5601 0.4087
S: 0.5049 0.9135 0.0649
S: 0.8486 0.4399 0.9351

Computed properties:
- Calculated volume: 214.5 Å³ per cell
- Formation energy without anion corrections: -0.61 eV/atom


The following is a PBE calculation of crystalline Rb2UNi2S4 at its relaxed geometry, from Alexandria via LeMat-Bulk.

Unit cell a=7.2542 b=7.2542 c=7.8810 alpha=107.88 beta=107.88 gamma=30.79
Fractional coordinates of all 9 atoms:
Rb: 0.1387 0.1387 0.0629
Rb: 0.8613 0.8613 0.9371
U: 0.0000 0.0000 0.5000
Ni: 0.3205 0.3205 0.5119
Ni: 0.6795 0.6795 0.4881
S: 0.1969 0.1969 0.6511
S: 0.4773 0.4773 0.7221
S: 0.5227 0.5227 0.2779
S: 0.8031 0.8031 0.3489

Computed properties:
- Calculated volume: 201.3 Å³ per cell
- Formation energy without anion corrections: -1.05 eV/atom


The following is a PBE calculation of crystalline Rb3U2NiS6 at its relaxed geometry, from Alexandria via LeMat-Bulk.

Unit cell a=7.0348 b=7.0348 c=7.9541 alpha=97.62 beta=97.62 gamma=122.87
Fractional coordinates of all 12 atoms:
Rb: 0.0000 0.0000 0.0000
Rb: 0.3434 0.6566 0.0000
Rb: 0.6566 0.3434 0.0000
U: 0.1645 0.8355 0.5000
U: 0.8355 0.1645 0.5000
Ni: 0.5000 0.5000 0.5000
S: 0.0836 0.4397 0.3021
S: 0.2519 0.2519 0.6665
S: 0.4397 0.0836 0.3021
S: 0.5603 0.9164 0.6979
S: 0.7481 0.7481 0.3335
S: 0.9164 0.5603 0.6979

Computed properties:
- Calculated volume: 317.6 Å³ per cell
- Formation energy without anion corrections: -1.11 eV/atom


The following is a PBE calculation of crystalline Rb3UNi2S6 at its relaxed geometry, from Alexandria via LeMat-Bulk.

Unit cell a=6.4808 b=6.4808 c=7.9178 alpha=97.84 beta=97.84 gamma=119.99
Fractional coordinates of all 12 atoms:
Rb: 0.0000 0.0000 0.0000
Rb: 0.3332 0.6668 0.0000
Rb: 0.6668 0.3332 0.0000
U: 0.5000 0.5000 0.5000
Ni: 0.1671 0.8329 0.5000
Ni: 0.8329 0.1671 0.5000
S: 0.0951 0.4410 0.3230
S: 0.2132 0.2132 0.6769
S: 0.4410 0.0951 0.3230
S: 0.5590 0.9049 0.6770
S: 0.7868 0.7868 0.3231
S: 0.9049 0.5590 0.6770

Computed properties:
- Calculated volume: 277.1 Å³ per cell
- Formation energy without anion corrections: -0.82 eV/atom


The following is a PBE calculation of crystalline RbV2NiS8 at its relaxed geometry, from Alexandria via LeMat-Bulk.

Unit cell a=9.8908 b=9.8908 c=9.8908 alpha=35.21 beta=35.21 gamma=35.21
Fractional coordinates of all 12 atoms:
Rb: 0.0000 0.0000 0.0000
V: 0.2362 0.2362 0.2362
V: 0.7638 0.7638 0.7638
Ni: 0.5000 0.5000 0.5000
S: 0.1463 0.4455 0.7614
S: 0.2386 0.8537 0.5545
S: 0.3124 0.3124 0.3124
S: 0.4455 0.7614 0.1463
S: 0.5545 0.2386 0.8537
S: 0.6876 0.6876 0.6876
S: 0.7614 0.1463 0.4455
S: 0.8537 0.5545 0.2386

Computed properties:
- Calculated volume: 287.4 Å³ per cell
- Formation energy without anion corrections: -0.42 eV/atom


The following is a PBE calculation of crystalline Rb2NiWS4 at its relaxed geometry, from Alexandria via LeMat-Bulk.

Unit cell a=13.8801 b=12.3498 c=7.3906 alpha=85.45 beta=62.49 gamma=32.06
Fractional coordinates of all 16 atoms:
Rb: 0.0514 0.0514 0.6986
Rb: 0.3014 0.3014 0.9486
Rb: 0.6986 0.6986 0.0514
Rb: 0.9486 0.9486 0.3014
Ni: 0.1250 0.1250 0.1250
Ni: 0.8750 0.8750 0.8750
W: 0.3750 0.3750 0.3750
W: 0.6250 0.6250 0.6250
S: 0.0203 0.3345 0.4181
S: 0.2729 0.5819 0.6655
S: 0.3345 0.0203 0.7271
S: 0.4181 0.7271 0.0203
S: 0.5819 0.2729 0.9797
S: 0.6655 0.9797 0.2729
S: 0.7271 0.4181 0.3345
S: 0.9797 0.6655 0.5819

Computed properties:
- Calculated volume: 446.5 Å³ per cell
- Formation energy without anion corrections: -0.92 eV/atom


The following is a PBE calculation of crystalline Rb2ZnNiS at its relaxed geometry, from Alexandria via LeMat-Bulk.

Unit cell a=6.5037 b=6.5037 c=4.6888 alpha=90.00 beta=90.00 gamma=90.00
Fractional coordinates of all 5 atoms:
Rb: 0.0000 0.5000 0.0000
Rb: 0.5000 0.0000 0.0000
Zn: 0.0000 0.0000 0.5000
Ni: 0.5000 0.5000 0.5000
S: 0.0000 0.0000 0.0000

Computed properties:
- Calculated volume: 198.3 Å³ per cell
- Formation energy without anion corrections: 0.18 eV/atom


The following is a PBE calculation of crystalline Rb2ZrNiS4 at its relaxed geometry, from Alexandria via LeMat-Bulk.

Unit cell a=6.6304 b=6.6304 c=6.6304 alpha=113.03 beta=113.03 gamma=102.57
Fractional coordinates of all 8 atoms:
Rb: 0.0000 0.0000 0.0000
Rb: 0.7500 0.2500 0.5000
Zr: 0.2500 0.7500 0.5000
Ni: 0.5000 0.5000 0.0000
S: 0.2745 0.1547 0.6122
S: 0.3377 0.7255 0.8803
S: 0.5426 0.6623 0.3878
S: 0.8453 0.4574 0.1197

Computed properties:
- Calculated volume: 222.0 Å³ per cell
- Formation energy without anion corrections: -1.02 eV/atom


The following is a PBE calculation of crystalline Rb2ZrNiS at its relaxed geometry, from Alexandria via LeMat-Bulk.

Unit cell a=6.8191 b=6.8191 c=4.0343 alpha=90.00 beta=90.00 gamma=90.00
Fractional coordinates of all 5 atoms:
Rb: 0.0000 0.5000 0.0000
Rb: 0.5000 0.0000 0.0000
Zr: 0.0000 0.0000 0.5000
Ni: 0.5000 0.5000 0.5000
S: 0.5000 0.5000 0.0000

Computed properties:
- Calculated volume: 187.6 Å³ per cell
- Formation energy without anion corrections: 0.52 eV/atom


The following is a PBE calculation of crystalline Rb3Zr3NiS8 at its relaxed geometry, from Alexandria via LeMat-Bulk.

Unit cell a=7.4825 b=7.4825 c=8.9328 alpha=114.74 beta=114.74 gamma=60.04
Fractional coordinates of all 15 atoms:
Rb: 0.0000 0.0000 0.0000
Rb: 0.0000 0.5000 0.0000
Rb: 0.5000 0.0000 0.0000
Zr: 0.0000 0.5000 0.5000
Zr: 0.5000 0.0000 0.5000
Zr: 0.5000 0.5000 0.5000
Ni: 0.0000 0.0000 0.5000
S: 0.2233 0.7319 0.6785
S: 0.2236 0.2236 0.6786
S: 0.2681 0.7767 0.3215
S: 0.2698 0.2698 0.3097
S: 0.7302 0.7302 0.6903
S: 0.7319 0.2233 0.6785
S: 0.7764 0.7764 0.3214
S: 0.7767 0.2681 0.3215

Computed properties:
- Calculated volume: 379.3 Å³ per cell
- Formation energy without anion corrections: -1.28 eV/atom


The following is a PBE calculation of crystalline Rb3Ni2Sb4 at its relaxed geometry, from Alexandria via LeMat-Bulk.

Unit cell a=7.4451 b=7.4451 c=10.2849 alpha=100.84 beta=100.84 gamma=32.58
Fractional coordinates of all 9 atoms:
Rb: 0.0000 0.0000 0.0000
Rb: 0.3848 0.3848 0.6012
Rb: 0.6152 0.6152 0.3988
Ni: 0.3150 0.3150 0.1637
Ni: 0.6850 0.6850 0.8363
Sb: 0.1146 0.1146 0.6987
Sb: 0.2887 0.2887 0.9084
Sb: 0.7113 0.7113 0.0916
Sb: 0.8854 0.8854 0.3013

Computed properties:
- Calculated volume: 301.1 Å³ per cell
- Formation energy without anion corrections: -0.29 eV/atom


The following is a PBE calculation of crystalline RbNiSb2 at its relaxed geometry, from Alexandria via LeMat-Bulk.

Unit cell a=3.4697 b=3.4697 c=8.4945 alpha=90.00 beta=90.00 gamma=90.00
Fractional coordinates of all 4 atoms:
Rb: 0.0000 0.0000 0.0000
Ni: 0.0000 0.0000 0.5000
Sb: 0.5000 0.5000 0.3311
Sb: 0.5000 0.5000 0.6689

Computed properties:
- Polymorph energy (0 for the lowest one): 0.2547 eV per atom
- Calculated volume: 102.3 Å³ per cell
- Formation energy without anion corrections: -0.01 eV/atom


The following is a PBE calculation of crystalline RbNiSb2 at its relaxed geometry, from Alexandria via LeMat-Bulk.

Unit cell a=8.2423 b=8.2423 c=8.2423 alpha=28.81 beta=28.81 gamma=28.81
Fractional coordinates of all 4 atoms:
Rb: 0.0000 0.0000 0.0000
Ni: 0.8300 0.8300 0.8300
Sb: 0.2105 0.2105 0.2105
Sb: 0.4511 0.4511 0.4511

Computed properties:
- Polymorph energy (0 for the lowest one): 0.0010 eV per atom
- Calculated volume: 115.0 Å³ per cell
- Formation energy without anion corrections: -0.27 eV/atom